# 1
# GGA-PBE Tb2YCd3Au3, relaxed
data_Tb2YCd3Au3
_chemical_formula_sum 'Tb2 Y1 Cd3 Au3'
_symmetry_space_group_name_H-M 'P 1'
_symmetry_Int_Tables_number 1
_cell_length_a 3.919
_cell_length_b 7.809
_cell_length_c 7.809
_cell_angle_alpha 120.04
_cell_angle_beta 90.00
_cell_angle_gamma 90.00
loop_
_symmetry_equiv_pos_as_xyz
'x,y,z'
loop_
_atom_site_label
_atom_site_fract_x
_atom_site_fract_y
_atom_site_fract_z
_atom_site_occupancy
Tb1 0.000 0.202 0.798 1
Tb2 0.000 0.798 0.202 1
Y1 0.000 0.605 0.605 1
Cd1 0.500 0.202 0.463 1
Cd2 0.500 0.463 0.202 1
Cd3 0.500 0.939 0.939 1
Au1 0.000 0.201 0.201 1
Au2 0.500 0.535 0.868 1
Au3 0.500 0.868 0.535 1
# magnetization: 0.00 μB/atom
# calculated formation energy: -0.671 eV per atom
# space group: No. 38
# E_tot: -3.805 eV/atom

=====

# 2
# GGA-PBE SnPtSe4, relaxed
data_SnPtSe4
_chemical_formula_sum 'Sn1 Pt1 Se4'
_symmetry_space_group_name_H-M 'P 1'
_symmetry_Int_Tables_number 1
_cell_length_a 3.828
_cell_length_b 6.318
_cell_length_c 6.603
_cell_angle_alpha 99.13
_cell_angle_beta 90.05
_cell_angle_gamma 105.51
loop_
_symmetry_equiv_pos_as_xyz
'x,y,z'
loop_
_atom_site_label
_atom_site_fract_x
_atom_site_fract_y
_atom_site_fract_z
_atom_site_occupancy
Sn1 0.000 0.000 0.000 1
Pt1 0.500 0.000 0.500 1
Se1 0.101 0.230 0.390 1
Se2 0.390 0.749 0.152 1
Se3 0.610 0.251 0.848 1
Se4 0.899 0.770 0.610 1
# magnetization: 0.00 μB/atom
# polymorph energy (0 for the lowest one): 0 meV/atom
# space group: No. 2
# E_tot: -4.390 eV/atom

=====

# 3
# GGA-PBE TbDyGe, relaxed
data_TbDyGe
_chemical_formula_sum 'Tb2 Dy2 Ge2'
_symmetry_space_group_name_H-M 'P 1'
_symmetry_Int_Tables_number 1
_cell_length_a 11.158
_cell_length_b 11.158
_cell_length_c 4.223
_cell_angle_alpha 90.00
_cell_angle_beta 90.00
_cell_angle_gamma 159.76
loop_
_symmetry_equiv_pos_as_xyz
'x,y,z'
loop_
_atom_site_label
_atom_site_fract_x
_atom_site_fract_y
_atom_site_fract_z
_atom_site_occupancy
Tb1 0.180 0.820 0.750 1
Tb2 0.820 0.180 0.250 1
Dy1 0.439 0.561 0.750 1
Dy2 0.561 0.439 0.250 1
Ge1 0.316 0.684 0.750 1
Ge2 0.684 0.316 0.250 1
# magnetization: 0.00 μB/atom
# polymorph energy (0 for the lowest one): 0 meV/atom
# space group: No. 63
# E_tot: -4.912 eV/atom

=====

# 4
# GGA-PBE CoSi3Pd, relaxed
data_CoSi3Pd
_chemical_formula_sum 'Co1 Si3 Pd1'
_symmetry_space_group_name_H-M 'P 1'
_symmetry_Int_Tables_number 1
_cell_length_a 6.511
_cell_length_b 6.511
_cell_length_c 6.511
_cell_angle_alpha 148.68
_cell_angle_beta 148.68
_cell_angle_gamma 44.89
loop_
_symmetry_equiv_pos_as_xyz
'x,y,z'
loop_
_atom_site_label
_atom_site_fract_x
_atom_site_fract_y
_atom_site_fract_z
_atom_site_occupancy
Co1 0.000 0.000 0.000 1
Si1 0.362 0.862 0.500 1
Si2 0.518 0.518 0.000 1
Si3 0.862 0.362 0.500 1
Pd1 0.712 0.712 0.000 1
# magnetization: 0.00 μB/atom
# space group: No. 107
# E_tot: -5.643 eV/atom

=====

Repeat the second record exactly.
# GGA-PBE SnPtSe4, relaxed
data_SnPtSe4
_chemical_formula_sum 'Sn1 Pt1 Se4'
_symmetry_space_group_name_H-M 'P 1'
_symmetry_Int_Tables_number 1
_cell_length_a 3.828
_cell_length_b 6.318
_cell_length_c 6.603
_cell_angle_alpha 99.13
_cell_angle_beta 90.05
_cell_angle_gamma 105.51
loop_
_symmetry_equiv_pos_as_xyz
'x,y,z'
loop_
_atom_site_label
_atom_site_fract_x
_atom_site_fract_y
_atom_site_fract_z
_atom_site_occupancy
Sn1 0.000 0.000 0.000 1
Pt1 0.500 0.000 0.500 1
Se1 0.101 0.230 0.390 1
Se2 0.390 0.749 0.152 1
Se3 0.610 0.251 0.848 1
Se4 0.899 0.770 0.610 1
# magnetization: 0.00 μB/atom
# polymorph energy (0 for the lowest one): 0 meV/atom
# space group: No. 2
# E_tot: -4.390 eV/atom

=====

> What is the formula in the second record?

SnPtSe4